The following is a PBE calculation of a relaxed structure of HfTiNb2C, from Alexandria via LeMat-Bulk.

Geometry as POSCAR:
```
HfTiNb2C
1.0
-4.182 -0.446 -1.457
-1.335 -0.982 4.131
-0.689 4.045 0.739
Nb Hf C Ti
2 1 1 1
direct
0.000 0.500 0.000
0.500 0.000 0.000
0.500 0.500 0.500
0.000 0.000 0.000
0.000 0.000 0.500
```

Summary:
space group = P4/mmm, No. 123
calculated formation energy = -0.227 eV per atom
N(E_F) = 4.3 states/eV/cell
electronic total energy = -9.669 eV/atom